This record from Alexandria via LeMat-Bulk describes a geometry-optimized Rb3Cd6Au5 structure. The functional is PBE.

```
data_Rb3Cd6Au5
_chemical_formula_sum 'Rb6 Cd12 Au10'
_space_group_name_H-M_alt 'P m m n'
_space_group_IT_number 59
_cell_length_a 4.806
_cell_length_b 14.368
_cell_length_c 11.484
_cell_angle_alpha 90.00
_cell_angle_beta 90.00
_cell_angle_gamma 90.00
loop_
_space_group_symop_operation_xyz
'x,y,z'
'-x,-y,-z'
'-x+1/2,-y+1/2,z'
'x+1/2,y+1/2,-z'
'x+1/2,-y,-z'
'-x+1/2,y,z'
'-x,y+1/2,-z'
'x,-y+1/2,z'
loop_
_atom_site_label
_atom_site_type_symbol
_atom_site_fract_x
_atom_site_fract_y
_atom_site_fract_z
Rb1 Rb 0.250 0.100 0.250
Rb2 Rb 0.250 0.750 0.247
Cd1 Cd 0.250 0.049 0.914
Cd2 Cd 0.250 0.250 0.526
Cd3 Cd 0.250 0.250 0.998
Cd4 Cd 0.250 0.573 0.489
Au1 Au 0.250 0.076 0.662
Au2 Au 0.250 0.641 0.985
Au3 Au 0.250 0.750 0.599
```

Results
**Calculated volume**: 793 Å³ per cell
**ΔE_f**: -0.21 eV/atom

This record from Alexandria via LeMat-Bulk describes a geometry-optimized Rb2Cd3Au structure. The functional is PBE.

```
data_Rb2Cd3Au
_chemical_formula_sum 'Rb32 Cd48 Au16'
_space_group_name_H-M_alt 'F d d d'
_space_group_IT_number 70
_cell_length_a 10.062
_cell_length_b 17.465
_cell_length_c 20.103
_cell_angle_alpha 90.00
_cell_angle_beta 90.00
_cell_angle_gamma 90.00
loop_
_space_group_symop_operation_xyz
'x,y,z'
'-x,-y,-z'
'-x+1/4,-y+1/4,z'
'x+1/4,y+1/4,-z'
'x,-y+1/4,-z+1/4'
'-x,y+1/4,z+1/4'
'-x+1/4,y,-z+1/4'
'x+1/4,-y,z+1/4'
'x,y+1/2,z+1/2'
'-x,-y+1/2,-z+1/2'
'-x+1/4,-y+3/4,z+1/2'
'x+1/4,y+3/4,-z+1/2'
'x,-y+3/4,-z+3/4'
'-x,y+3/4,z+3/4'
'-x+1/4,y+1/2,-z+3/4'
'x+1/4,-y+1/2,z+3/4'
'x+1/2,y,z+1/2'
'-x+1/2,-y,-z+1/2'
'-x+3/4,-y+1/4,z+1/2'
'x+3/4,y+1/4,-z+1/2'
'x+1/2,-y+1/4,-z+3/4'
'-x+1/2,y+1/4,z+3/4'
'-x+3/4,y,-z+3/4'
'x+3/4,-y,z+3/4'
'x+1/2,y+1/2,z'
'-x+1/2,-y+1/2,-z'
'-x+3/4,-y+3/4,z'
'x+3/4,y+3/4,-z'
'x+1/2,-y+3/4,-z+1/4'
'-x+1/2,y+3/4,z+1/4'
'-x+3/4,y+1/2,-z+1/4'
'x+3/4,-y+1/2,z+1/4'
loop_
_atom_site_label
_atom_site_type_symbol
_atom_site_fract_x
_atom_site_fract_y
_atom_site_fract_z
Rb1 Rb 0.125 0.125 0.000
Rb2 Rb 0.125 0.125 0.500
Cd1 Cd 0.118 0.289 0.376
Cd2 Cd 0.125 0.296 0.625
Au1 Au 0.125 0.292 0.125
```

Results
**Calculated volume**: 3533 Å³ per cell
**ΔE_f**: -0.12 eV/atom
**E above lowest polymorph**: 0 meV/atom

| no. | M_tot (μB per atom) |
| --- | --- |
| 1 | 0.000 |
| 2 | 0.000 |